# 1
Computed, not measured: crystalline PrHo2Tl2Zn3Cd at its relaxed geometry at the PBE level of DFT.

DFT total energy, eV per atom: -2.89
Density, g/cm3: 9.3

CIF file:
```
data_PrHo2Tl2Zn3Cd
_chemical_formula_sum 'Pr2 Ho4 Tl4 Zn6 Cd2'
_cell_length_a 4.5846
_cell_length_b 12.7833
_cell_length_c 7.2238
_cell_angle_alpha 90.00
_cell_angle_beta 90.00
_cell_angle_gamma 90.00
_space_group_name_H-M_alt 'A m m 2'
_space_group_IT_number 38
_space_group_name_Hall 'A 2 -2'
loop_
_atom_site_label
_atom_site_type_symbol
_atom_site_fract_x
_atom_site_fract_y
_atom_site_fract_z
_atom_site_occupancy
Pr1 Pr 0.0000 0.0000 0.0000 1
Ho1 Ho 0.0000 0.2134 0.6364 1
Tl1 Tl 0.5000 0.1712 0.9239 1
Zn1 Zn 0.5000 0.0000 0.6585 1
Zn2 Zn 0.5000 0.1143 0.3124 1
Cd1 Cd 0.0000 0.0000 0.4387 1
```



# 2
Computed, not measured: crystalline HoCdPt at its relaxed geometry at the PBE level of DFT.

DFT total energy, eV per atom: -4.14
Formation energy from the elements, meV per atom: -294
Density, g/cm3: 10.3

CIF file:
```
data_HoCdPt
_chemical_formula_sum 'Ho4 Cd4 Pt4'
_cell_length_a 6.7250
_cell_length_b 6.7250
_cell_length_c 6.7250
_cell_angle_alpha 90.00
_cell_angle_beta 90.00
_cell_angle_gamma 90.00
_space_group_name_H-M_alt 'F -4 3 m'
_space_group_IT_number 216
_space_group_name_Hall 'F -4 2 3'
loop_
_atom_site_label
_atom_site_type_symbol
_atom_site_fract_x
_atom_site_fract_y
_atom_site_fract_z
_atom_site_occupancy
Ho1 Ho 0.0000 0.0000 0.0000 1
Cd1 Cd 0.2500 0.2500 0.7500 1
Pt1 Pt 0.2500 0.2500 0.2500 1
```



Question: What is the DFT total energy in the first record?
Answer: -2.89 eV per atom



What did the first record say?
Computed, not measured: crystalline PrHo2Tl2Zn3Cd at its relaxed geometry at the PBE level of DFT.

DFT total energy, eV per atom: -2.89
Density, g/cm3: 9.3

CIF file:
```
data_PrHo2Tl2Zn3Cd
_chemical_formula_sum 'Pr2 Ho4 Tl4 Zn6 Cd2'
_cell_length_a 4.5846
_cell_length_b 12.7833
_cell_length_c 7.2238
_cell_angle_alpha 90.00
_cell_angle_beta 90.00
_cell_angle_gamma 90.00
_space_group_name_H-M_alt 'A m m 2'
_space_group_IT_number 38
_space_group_name_Hall 'A 2 -2'
loop_
_atom_site_label
_atom_site_type_symbol
_atom_site_fract_x
_atom_site_fract_y
_atom_site_fract_z
_atom_site_occupancy
Pr1 Pr 0.0000 0.0000 0.0000 1
Ho1 Ho 0.0000 0.2134 0.6364 1
Tl1 Tl 0.5000 0.1712 0.9239 1
Zn1 Zn 0.5000 0.0000 0.6585 1
Zn2 Zn 0.5000 0.1143 0.3124 1
Cd1 Cd 0.0000 0.0000 0.4387 1
```



Question: Which formula does entry 1 have?
Answer: PrHo2Tl2Zn3Cd



Question: The lowest density belongs to which entry?
Answer: PrHo2Tl2Zn3Cd